The following is a DFT calculation (PBE-GGA) of PdPt2Rh9 after structural relaxation.

Unit cell a=3.871 b=3.871 c=11.614 alpha=90.00 beta=90.00 gamma=90.00
Positions (direct):
Pd1 0.000 0.000 0.000
Rh1 0.000 0.500 0.167
Rh2 0.500 0.500 0.333
Pt1 0.000 0.000 0.667
Rh3 0.000 0.500 0.833
Rh4 0.500 0.000 0.167
Rh5 0.500 0.000 0.833
Rh6 0.500 0.500 0.000
Pt2 0.000 0.000 0.333
Rh7 0.500 0.500 0.667
Rh8 0.000 0.500 0.500
Rh9 0.500 0.000 0.500

Values from the calculation:
Final energy, eV per atom: -6.936
Energy of formation, eV/atom: 0.017
Space-group type: P4/mmm (123)

***

The following is a DFT calculation (PBE-GGA) of Pd4Pt15Rh after structural relaxation.

Unit cell a=3.957 b=3.957 c=19.904 alpha=90.00 beta=90.00 gamma=90.00
Last column: magnetic moment on the atom in μB.
Positions (direct):
Pt1 0.500 0.500 0.000  0.27
Pd1 0.000 0.000 0.802  0.19
Pt2 0.500 0.500 0.400  0.18
Pt3 0.500 0.500 0.800  0.25
Pd2 0.000 0.000 0.600  0.20
Pt4 0.500 0.500 0.200  0.25
Pt5 0.500 0.000 0.300  0.16
Pt6 0.000 0.500 0.500  0.17
Pt7 0.500 0.000 0.098  0.27
Pt8 0.500 0.000 0.500  0.17
Pt9 0.500 0.000 0.700  0.16
Pt10 0.000 0.500 0.098  0.27
Pd3 0.000 0.000 0.198  0.19
Rh1 0.000 0.000 0.000  0.60
Pd4 0.000 0.000 0.400  0.20
Pt11 0.000 0.500 0.902  0.27
Pt12 0.500 0.500 0.600  0.18
Pt13 0.000 0.500 0.700  0.16
Pt14 0.500 0.000 0.902  0.27
Pt15 0.000 0.500 0.300  0.16

Values from the calculation:
Final energy, eV per atom: -5.963
Energy of formation, eV/atom: -0.026
Space-group type: P4/mmm (123)

***

The following is a DFT calculation (PBE-GGA) of Pd6Pt2Rh3 after structural relaxation.

Unit cell a=4.753 b=4.752 c=20.431 alpha=110.37 beta=83.39 gamma=60.00
Last column: magnetic moment on the atom in μB.
Positions (direct):
Pd1 0.537 0.211 0.876  0.13
Pd2 0.206 0.881 0.876  0.13
Pt1 0.666 0.167 0.000  0.09
Rh1 0.586 0.750 0.250  0.42
Pd3 0.039 0.380 0.376  0.13
Pd4 0.876 0.541 0.876  0.14
Pd5 0.794 0.119 0.124  0.13
Rh2 0.749 0.584 0.750  0.43
Pt2 0.167 0.666 0.500  0.09
Pd6 0.292 0.958 0.624  0.13
Rh3 0.086 0.914 0.750  0.41
Rh4 0.251 0.416 0.250  0.43
Pd7 0.377 0.712 0.377  0.13
Pd8 0.463 0.789 0.124  0.13
Rh5 0.414 0.250 0.750  0.42
Rh6 0.914 0.086 0.250  0.41
Pd9 0.124 0.459 0.124  0.14
Pd10 0.623 0.288 0.623  0.13
Pd11 0.961 0.620 0.624  0.13
Pt3 0.334 0.833 0.000  0.09
Pt4 0.833 0.334 0.500  0.09
Pd12 0.708 0.042 0.376  0.13

Values from the calculation:
Final energy, eV per atom: -5.779
Energy of formation, eV/atom: 0.157
Space-group type: P-1 (2)

***

The following is a DFT calculation (PBE-GGA) of PdPt3Rh after structural relaxation.

Unit cell a=4.773 b=4.773 c=4.773 alpha=90.00 beta=90.00 gamma=90.00
Last column: magnetic moment on the atom in μB.
Positions (direct):
Pt1 0.000 0.000 0.500  0.54
Pd1 0.500 0.500 0.500  -0.01
Pt2 0.500 0.000 0.000  0.12
Pt3 0.000 0.500 0.000  0.29
Rh1 0.000 0.000 0.000  0.91

Values from the calculation:
Final energy, eV per atom: -4.713
Energy of formation, eV/atom: 1.420
Space-group type: Pm-3m (221)
E above lowest polymorph, meV per atom: 1146.2

***

Among the records above, which one has the lowest energy of formation? Pd4Pt15Rh

***

Which of these has the highest energy of formation? PdPt3Rh

***

Which value of energy of formation does entry 3 give? 0.157 eV/atom

***

Look up the final energy of the fourth one. -4.713 eV per atom